1.
# Ta2Ir3Ru3 | the Alexandria database | PBE | optimized geometry
# SG: Pmmm
# E: -10.241 eV/atom
# Density of states at the Fermi level: 7.6 states/eV/cell
data_Ta2Ir3Ru3
_chemical_formula_sum 'Ta2 Ir3 Ru3'
_space_group_name_H-M_alt 'P 1'
_space_group_IT_number 1
_cell_length_a 3.9151
_cell_length_b 3.9082
_cell_length_c 7.8280
_cell_angle_alpha 90.00
_cell_angle_beta 90.00
_cell_angle_gamma 90.00
loop_
_space_group_symop_operation_xyz
'x,y,z'
loop_
_atom_site_label
_atom_site_fract_x
_atom_site_fract_y
_atom_site_fract_z
Ru1 0.5000 0.0000 0.5000
Ru2 0.0000 0.5000 0.5000
Ru3 0.0000 0.5000 0.0000
Ta1 0.0000 0.0000 0.7485
Ta2 0.0000 0.0000 0.2515
Ir1 0.5000 0.0000 0.0000
Ir2 0.5000 0.5000 0.2497
Ir3 0.5000 0.5000 0.7503

2.
# TaPI | the Alexandria database | PBE | optimized geometry
# Uncorrected formation energy: -0.061 eV per atom
# SG: P4_2/m
# E: -6.332 eV/atom
# Density of states at the Fermi level: 9.0 states/eV/cell
data_TaPI
_chemical_formula_sum 'Ta4 P4 I4'
_space_group_name_H-M_alt 'P 1'
_space_group_IT_number 1
_cell_length_a 3.5783
_cell_length_b 9.3233
_cell_length_c 9.3233
_cell_angle_alpha 90.00
_cell_angle_beta 90.00
_cell_angle_gamma 90.00
loop_
_space_group_symop_operation_xyz
'x,y,z'
loop_
_atom_site_label
_atom_site_fract_x
_atom_site_fract_y
_atom_site_fract_z
P1 0.5000 0.7154 0.5536
P2 0.0000 0.5536 0.2846
P3 0.0000 0.4464 0.7154
P4 0.5000 0.2846 0.4464
Ta1 0.5000 0.7330 0.2932
Ta2 0.5000 0.2670 0.7068
Ta3 0.0000 0.7068 0.7330
Ta4 0.0000 0.2932 0.2670
I1 0.0000 0.9724 0.2848
I2 0.5000 0.7152 0.9724
I3 0.5000 0.2848 0.0276
I4 0.0000 0.0276 0.7152

3.
# KSn2Hg2 | the Alexandria database | PBE | optimized geometry
# SG: P4/mbm
# ΔE to the lowest computed polymorph: 89.2 meV per atom
# E: -2.007 eV/atom
# Density of states at the Fermi level: 5.3 states/eV/cell
data_KSn2Hg2
_chemical_formula_sum 'K2 Sn4 Hg4'
_space_group_name_H-M_alt 'P 1'
_space_group_IT_number 1
_cell_length_a 9.1249
_cell_length_b 9.1249
_cell_length_c 3.4784
_cell_angle_alpha 90.00
_cell_angle_beta 90.00
_cell_angle_gamma 90.00
loop_
_space_group_symop_operation_xyz
'x,y,z'
loop_
_atom_site_label
_atom_site_fract_x
_atom_site_fract_y
_atom_site_fract_z
Hg1 0.8343 0.3343 0.5000
Hg2 0.1657 0.6657 0.5000
Hg3 0.3343 0.1657 0.5000
Hg4 0.6657 0.8343 0.5000
K1 0.5000 0.5000 0.0000
K2 0.0000 0.0000 0.0000
Sn1 0.3717 0.8717 0.0000
Sn2 0.6283 0.1283 0.0000
Sn3 0.1283 0.3717 0.0000
Sn4 0.8717 0.6283 0.0000

4.
# SrDyVN3 | the Alexandria database | PBE | optimized geometry
# Uncorrected formation energy: -1.053 eV per atom
# SG: C2/m
# E: -7.783 eV/atom
data_SrDyVN3
_chemical_formula_sum 'Sr2 Dy2 V2 N6'
_space_group_name_H-M_alt 'P 1'
_space_group_IT_number 1
_cell_length_a 3.8154
_cell_length_b 6.8519
_cell_length_c 7.2362
_cell_angle_alpha 104.76
_cell_angle_beta 90.00
_cell_angle_gamma 106.17
loop_
_space_group_symop_operation_xyz
'x,y,z'
loop_
_atom_site_label
_atom_site_fract_x
_atom_site_fract_y
_atom_site_fract_z
N1 0.4961 0.9921 0.6893
N2 0.8429 0.6858 0.6568
N3 0.1571 0.3142 0.3432
N4 0.5039 0.0079 0.3107
N5 0.1472 0.2943 0.8078
N6 0.8528 0.7057 0.1922
V1 0.0002 0.0004 0.2985
V2 0.9998 0.9996 0.7015
Dy1 0.3442 0.6884 0.4231
Dy2 0.6558 0.3116 0.5769
Sr1 0.3533 0.7066 0.9250
Sr2 0.6467 0.2934 0.0750

5.
# Y2ThCd | the Alexandria database | PBE | optimized geometry
# SG: R-3m
# ΔE to the lowest computed polymorph: 81.3 meV per atom
# E: -5.409 eV/atom
# Density of states at the Fermi level: 4.5 states/eV/cell
data_Y2ThCd
_chemical_formula_sum 'Y2 Th1 Cd1'
_space_group_name_H-M_alt 'P 1'
_space_group_IT_number 1
_cell_length_a 3.6002
_cell_length_b 3.6002
_cell_length_c 10.8897
_cell_angle_alpha 80.49
_cell_angle_beta 80.49
_cell_angle_gamma 60.00
loop_
_space_group_symop_operation_xyz
'x,y,z'
loop_
_atom_site_label
_atom_site_fract_x
_atom_site_fract_y
_atom_site_fract_z
Y1 0.7451 0.7451 0.7646
Y2 0.2549 0.2549 0.2354
Th1 0.5000 0.5000 0.5000
Cd1 0.0000 0.0000 0.0000

6.
# HoEr4Th | the Alexandria database | PBE | optimized geometry
# SG: P-1
# ΔE to the lowest computed polymorph: 176.9 meV per atom
# E: -4.841 eV/atom
# Density of states at the Fermi level: 10.2 states/eV/cell
data_HoEr4Th
_chemical_formula_sum 'Ho1 Er4 Th1'
_space_group_name_H-M_alt 'P 1'
_space_group_IT_number 1
_cell_length_a 3.3651
_cell_length_b 5.8139
_cell_length_c 9.8059
_cell_angle_alpha 90.02
_cell_angle_beta 89.75
_cell_angle_gamma 89.88
loop_
_space_group_symop_operation_xyz
'x,y,z'
loop_
_atom_site_label
_atom_site_fract_x
_atom_site_fract_y
_atom_site_fract_z
Er1 0.0037 0.4975 0.6842
Er2 0.5035 0.9971 0.1888
Er3 0.9986 0.4970 0.3121
Er4 0.4992 0.9975 0.8075
Th1 0.0016 0.9971 0.4981
Ho1 0.5013 0.4974 0.9982

7.
# ZrScFe2 | the Alexandria database | PBE | optimized geometry
# SG: F-43m
# E: -7.830 eV/atom
# Density of states at the Fermi level: 4.5 states/eV/cell
data_ZrScFe2
_chemical_formula_sum 'Zr1 Sc1 Fe2'
_space_group_name_H-M_alt 'P 1'
_space_group_IT_number 1
_cell_length_a 4.4874
_cell_length_b 4.4874
_cell_length_c 4.4874
_cell_angle_alpha 60.00
_cell_angle_beta 60.00
_cell_angle_gamma 60.00
loop_
_space_group_symop_operation_xyz
'x,y,z'
loop_
_atom_site_label
_atom_site_fract_x
_atom_site_fract_y
_atom_site_fract_z
Sc1 0.5000 0.5000 0.5000
Zr1 0.2500 0.2500 0.2500
Fe1 0.0000 0.0000 0.0000
Fe2 0.7500 0.7500 0.7500

8.
# AlH6Pd12 | the Alexandria database | PBE | optimized geometry
# SG: R-3m
# ΔE to the lowest computed polymorph: 280.1 meV per atom
# E: -4.414 eV/atom
# Density of states at the Fermi level: 14.7 states/eV/cell
data_AlH6Pd12
_chemical_formula_sum 'Al1 H6 Pd12'
_space_group_name_H-M_alt 'P 1'
_space_group_IT_number 1
_cell_length_a 6.5206
_cell_length_b 6.5206
_cell_length_c 6.5206
_cell_angle_alpha 104.02
_cell_angle_beta 104.02
_cell_angle_gamma 104.02
loop_
_space_group_symop_operation_xyz
'x,y,z'
loop_
_atom_site_label
_atom_site_fract_x
_atom_site_fract_y
_atom_site_fract_z
Pd1 0.1327 0.5000 0.8673
Pd2 0.8170 0.5497 0.5497
Pd3 0.8673 0.1327 0.5000
Pd4 0.5497 0.8170 0.5497
Pd5 0.8673 0.5000 0.1327
Pd6 0.4503 0.1830 0.4503
Pd7 0.1327 0.8673 0.5000
Pd8 0.4503 0.4503 0.1830
Pd9 0.5497 0.5497 0.8170
Pd10 0.5000 0.8673 0.1327
Pd11 0.5000 0.1327 0.8673
Pd12 0.1830 0.4503 0.4503
H1 0.1503 0.1503 0.4812
H2 0.5188 0.8497 0.8497
H3 0.4812 0.1503 0.1503
H4 0.1503 0.4812 0.1503
H5 0.8497 0.5188 0.8497
H6 0.8497 0.8497 0.5188
Al1 0.0000 0.0000 0.0000

9.
# Na2Tl4Pb | the Alexandria database | PBE | optimized geometry
# SG: I4/mmm
# ΔE to the lowest computed polymorph: 176.4 meV per atom
# E: -2.079 eV/atom
# Density of states at the Fermi level: 3.9 states/eV/cell
data_Na2Tl4Pb
_chemical_formula_sum 'Na2 Tl4 Pb1'
_space_group_name_H-M_alt 'P 1'
_space_group_IT_number 1
_cell_length_a 5.9522
_cell_length_b 5.9522
_cell_length_c 9.1108
_cell_angle_alpha 70.93
_cell_angle_beta 70.93
_cell_angle_gamma 90.00
loop_
_space_group_symop_operation_xyz
'x,y,z'
loop_
_atom_site_label
_atom_site_fract_x
_atom_site_fract_y
_atom_site_fract_z
Na1 0.6107 0.6107 0.7786
Na2 0.3893 0.3893 0.2214
Tl1 0.5000 0.0000 0.0000
Tl2 0.1941 0.1941 0.6119
Tl3 0.0000 0.5000 0.0000
Tl4 0.8059 0.8059 0.3881
Pb1 0.0000 0.0000 0.0000

10.
# Pd | the Alexandria database | PBE | optimized geometry
# SG: P6_3/mmc
# ΔE to the lowest computed polymorph: 33.8 meV per atom
# E: -5.159 eV/atom
# Density of states at the Fermi level: 4.0 states/eV/cell
data_Pd
_chemical_formula_sum 'Pd2'
_space_group_name_H-M_alt 'P 1'
_space_group_IT_number 1
_cell_length_a 2.7742
_cell_length_b 2.7742
_cell_length_c 4.6431
_cell_angle_alpha 90.00
_cell_angle_beta 90.00
_cell_angle_gamma 120.00
loop_
_space_group_symop_operation_xyz
'x,y,z'
loop_
_atom_site_label
_atom_site_fract_x
_atom_site_fract_y
_atom_site_fract_z
Pd1 0.6667 0.3333 0.7500
Pd2 0.3333 0.6667 0.2500

11.
# ErTm2BiC | the Alexandria database | PBE | optimized geometry
# SG: P4/mmm
# E: -5.858 eV/atom
# Density of states at the Fermi level: 3.5 states/eV/cell
data_ErTm2BiC
_chemical_formula_sum 'Er1 Tm2 Bi1 C1'
_space_group_name_H-M_alt 'P 1'
_space_group_IT_number 1
_cell_length_a 4.8836
_cell_length_b 4.8451
_cell_length_c 4.8451
_cell_angle_alpha 90.00
_cell_angle_beta 90.00
_cell_angle_gamma 90.00
loop_
_space_group_symop_operation_xyz
'x,y,z'
loop_
_atom_site_label
_atom_site_fract_x
_atom_site_fract_y
_atom_site_fract_z
Bi1 0.5000 0.5000 0.5000
Er1 0.5000 0.0000 0.0000
Tm1 0.0000 0.5000 0.0000
Tm2 0.0000 0.0000 0.5000
C1 0.0000 0.0000 0.0000

12.
# PmHoSc2S4 | the Alexandria database | PBE | optimized geometry
# Uncorrected formation energy: -1.918 eV per atom
# SG: P2/m
# E: -6.730 eV/atom
# Density of states at the Fermi level: 4.8 states/eV/cell
data_PmHoSc2S4
_chemical_formula_sum 'Pm1 Ho1 Sc2 S4'
_space_group_name_H-M_alt 'P 1'
_space_group_IT_number 1
_cell_length_a 3.7881
_cell_length_b 6.6847
_cell_length_c 6.6271
_cell_angle_alpha 71.01
_cell_angle_beta 90.00
_cell_angle_gamma 90.00
loop_
_space_group_symop_operation_xyz
'x,y,z'
loop_
_atom_site_label
_atom_site_fract_x
_atom_site_fract_y
_atom_site_fract_z
Pm1 0.5000 0.5000 0.0000
S1 0.0000 0.2267 0.2641
S2 0.5000 0.7685 0.2499
S3 0.5000 0.2315 0.7501
S4 0.0000 0.7733 0.7359
Sc1 0.5000 0.0000 0.5000
Sc2 0.0000 0.0000 0.0000
Ho1 0.0000 0.5000 0.5000

> Among the records above, which one has the highest E?

KSn2Hg2